# 1
{
  "formula": "HfTiAgRu",
  "functional": "GGA-PBE",
  "state": "relaxed",
  "cell": [[4.599, 0.000, 0.000], [2.300, 3.983, 0.000], [2.300, 1.328, 3.755]],
  "species": ["Ti", "Ru", "Ag", "Hf"],
  "frac_coords": [[0.000, 0.000, 0.000], [0.750, 0.750, 0.750], [0.250, 0.250, 0.250], [0.500, 0.500, 0.500]],
  "space_group": "F-43m",
  "e_form_kj_per_mol_atoms": -22,
  "rho_g_cm3": 10.51
}

***

# 2
{
  "formula": "TmHfAgRu",
  "functional": "GGA-PBE",
  "state": "relaxed",
  "cell": [[-4.712, 0.834, -0.308], [-2.785, -2.911, -2.599], [-3.101, -2.932, 2.185]],
  "species": ["Ru", "Ag", "Hf", "Tm"],
  "frac_coords": [[0.500, 0.500, 0.500], [0.000, 0.000, 0.000], [0.750, 0.750, 0.750], [0.250, 0.250, 0.250]],
  "space_group": "F-43m",
  "e_form_kj_per_mol_atoms": -31,
  "rho_g_cm3": 11.85
}

***

# 3
{
  "formula": "HfV2AgRu",
  "functional": "GGA-PBE",
  "state": "relaxed",
  "cell": [[4.535, 0.000, 0.000], [0.000, 4.917, 0.000], [0.000, 0.000, 4.535]],
  "species": ["V", "Hf", "V", "Ag", "Ru"],
  "frac_coords": [[0.000, 0.000, 0.500], [0.500, 0.500, 0.500], [0.500, 0.000, 0.000], [0.000, 0.000, 0.000], [0.000, 0.500, 0.000]],
  "space_group": "P4/mmm",
  "e_form_kj_per_mol_atoms": 160,
  "rho_g_cm3": 8.04
}

***

# 4
{
  "formula": "HfZn2AgRu",
  "functional": "GGA-PBE",
  "state": "relaxed",
  "cell": [[-0.722, 4.675, 1.732], [-4.814, -0.198, -1.471], [-1.312, -1.887, 4.548]],
  "species": ["Ag", "Ru", "Zn", "Hf", "Zn"],
  "frac_coords": [[0.000, 0.000, 0.500], [0.500, 0.500, 0.500], [0.500, 0.000, 0.000], [0.000, 0.000, 0.000], [0.000, 0.500, 0.000]],
  "space_group": "P4/mmm",
  "e_form_kj_per_mol_atoms": 165,
  "rho_g_cm3": 6.65
}